An optimized crystal structure of LaAl3Ni3, computed with GGA-PBE.

Cell lengths 6.472, 6.472, 6.472 Å; angles 90.00, 90.00, 90.00 degrees
Positions (direct):
Al (0.500, 0.000, 0.250)
Al (0.500, 0.000, 0.750)
Al (0.000, 0.750, 0.500)
Al (0.250, 0.500, 0.000)
Al (0.000, 0.250, 0.500)
Al (0.750, 0.500, 0.000)
La (0.000, 0.000, 0.000)
La (0.500, 0.500, 0.500)
Ni (0.250, 0.000, 0.500)
Ni (0.000, 0.500, 0.250)
Ni (0.750, 0.000, 0.500)
Ni (0.500, 0.250, 0.000)
Ni (0.500, 0.750, 0.000)
Ni (0.000, 0.500, 0.750)

Summary:
As for the calculated formation energy: -143.4 meV/atom. For the density of states at the Fermi level, the calculation gives 0.777 states/eV per atom. Its size of the total moment is 0.0 μB/cell. The space group is Pm-3n, No. 223.

=====

An optimized crystal structure of La2AlNi3, computed with GGA-PBE.

Cell lengths 5.883, 5.883, 8.209 Å; angles 110.02, 110.02, 92.57 degrees
Positions (direct):
La (0.250, 0.750, 0.500)
La (0.239, 0.239, 0.000)
La (0.761, 0.761, 0.000)
La (0.750, 0.250, 0.500)
Ni (0.832, 0.337, 0.168)
Ni (0.835, 0.835, 0.670)
Ni (0.337, 0.832, 0.168)
Ni (0.168, 0.663, 0.832)
Ni (0.165, 0.165, 0.330)
Ni (0.663, 0.168, 0.832)
Al (0.666, 0.666, 0.332)
Al (0.334, 0.334, 0.668)

Summary:
As for the calculated formation energy: -355.1 meV/atom. For the density of states at the Fermi level, the calculation gives 0.810 states/eV per atom. Its size of the total moment is 0.0 μB/cell. The space group is Fmmm, No. 69.

=====

| no. | calculated density (g/cm3) |
| --- | --- |
| 1 | 4.851 |
| 2 | 6.476 |